PBE Mn2AsBr, relaxed; space-group type = No. 8
1.0
3.267 -1.878 0.000
3.267 1.878 0.000
-0.057 0.000 6.640
Mn As Br
2 1 1
direct
0.000 0.000 0.000
0.004 0.004 0.414
0.335 0.335 0.207
0.667 0.667 0.707



PBE Ti2Be15Cu2, relaxed; formation energy = -0.196 eV/atom; space-group type = No. 166
1.0
3.737 2.158 3.628
-3.737 2.158 3.628
0.000 -4.315 3.628
Ti Be Cu
2 15 2
direct
0.154 0.154 0.154
0.846 0.846 0.846
0.000 0.500 0.500
0.153 0.153 0.663
0.153 0.663 0.153
0.203 0.500 0.797
0.203 0.797 0.500
0.337 0.847 0.847
0.500 0.000 0.500
0.500 0.203 0.797
0.500 0.500 0.000
0.500 0.797 0.203
0.663 0.153 0.153
0.797 0.203 0.500
0.797 0.500 0.203
0.847 0.337 0.847
0.847 0.847 0.337
0.392 0.392 0.392
0.608 0.608 0.608



PBE SmLuRuRh, relaxed; formation energy = -0.594 eV/atom; space-group type = No. 216
1.0
0.000 3.414 3.414
3.414 0.000 3.414
3.414 3.414 0.000
Sm Lu Ru Rh
1 1 1 1
direct
0.000 0.000 0.000
0.500 0.500 0.500
0.750 0.750 0.750
0.250 0.250 0.250



PBE SrPtSe2, relaxed; space-group type = No. 71
1.0
-1.961 2.842 4.424
1.961 -2.842 4.424
1.961 2.842 -4.424
Sr Pt Se
1 1 2
direct
0.000 0.000 0.000
0.500 0.500 0.000
0.323 0.823 0.500
0.677 0.177 0.500



PBE MgNiAs2, relaxed; formation energy = 0.153 eV/atom; space-group type = No. 216
1.0
0.000 3.231 3.231
3.231 0.000 3.231
3.231 3.231 0.000
Mg Ni As
1 1 2
direct
0.000 0.000 0.000
0.250 0.250 0.250
0.500 0.500 0.500
0.750 0.750 0.750



PBE Te3Rh, relaxed; space-group type = No. 59
1.0
4.143 0.000 0.000
0.000 8.087 0.000
0.000 0.000 7.598
Te Rh
6 2
direct
0.250 0.020 0.151
0.250 0.250 0.488
0.250 0.480 0.151
0.750 0.520 0.849
0.750 0.750 0.512
0.750 0.980 0.849
0.250 0.750 0.322
0.750 0.250 0.678



| no. | final energy (eV per atom) |
| --- | --- |
| 1 | -6.2400 |
| 2 | -4.4002 |
| 3 | -7.0604 |
| 4 | -4.6846 |
| 5 | -4.0157 |
| 6 | -4.1621 |